[1]
Compound: CeEr2Ir
Source: Alexandria via LeMat-Bulk
Functional: PBE
Structure: relaxed

Calculated values
crystal system: tetragonal
offset from the most stable computed form: 125 meV/atom

Unit cell a=3.4257 b=3.4257 c=8.7277 alpha=90.00 beta=90.00 gamma=90.00
With the nearest neighbours (Å) after each atom.
Atoms (fractional coordinates):
Ce (0.0000, 0.0000, 0.0000)  4 Ce 3.43, 8 Er 3.65
Er (0.5000, 0.5000, 0.3122)  4 Ir 2.92
Er (0.5000, 0.5000, 0.6878)  4 Ir 2.92
Ir (0.0000, 0.0000, 0.5000)  8 Er 2.92

[2]
Compound: CeEr4Ir5
Source: Alexandria via LeMat-Bulk
Functional: PBE
Structure: relaxed

Calculated values
crystal system: tetragonal
E: -7.675 eV per atom

Unit cell a=3.3660 b=3.3660 c=17.6307 alpha=90.00 beta=90.00 gamma=90.00
With the nearest neighbours (Å) after each atom.
Atoms (fractional coordinates):
Ce (0.0000, 0.0000, 0.0000)  8 Ir 3.00
Er (0.0000, 0.0000, 0.2034)  8 Ir 2.95-2.96
Er (0.0000, 0.0000, 0.4013)  8 Ir 2.95
Er (0.0000, 0.0000, 0.5987)  8 Ir 2.95
Er (0.0000, 0.0000, 0.7966)  8 Ir 2.95-2.96
Ir (0.5000, 0.5000, 0.1036)  4 Er 2.96, 4 Ce 3.00
Ir (0.5000, 0.5000, 0.3022)  8 Er 2.95
Ir (0.5000, 0.5000, 0.5000)  8 Er 2.95
Ir (0.5000, 0.5000, 0.6978)  8 Er 2.95
Ir (0.5000, 0.5000, 0.8964)  4 Er 2.96, 4 Ce 3.00

[3]
Compound: Ce2ErIr
Source: Alexandria via LeMat-Bulk
Functional: PBE
Structure: relaxed

Calculated values
crystal system: trigonal
offset from the most stable computed form: 180 meV/atom

Unit cell a=9.1653 b=9.1653 c=9.1653 alpha=24.51 beta=24.51 gamma=24.51
With the nearest neighbours (Å) after each atom.
Atoms (fractional coordinates):
Ce (0.0000, 0.0000, 0.0000)  3 Ir 2.80
Ce (0.2085, 0.2085, 0.2085)  3 Ir 2.80
Er (0.4376, 0.4376, 0.4376)  6 Ce 3.57, 6 Er 3.89
Ir (0.6042, 0.6042, 0.6042)  6 Ce 2.80

[4]
Compound: Ce2Er2Ir3
Source: Alexandria via LeMat-Bulk
Functional: PBE
Structure: relaxed

Calculated values
crystal system: cubic
offset from the most stable computed form: 0 meV/atom

Unit cell a=7.4613 b=7.4613 c=7.4613 alpha=109.47 beta=109.47 gamma=109.47
With the nearest neighbours (Å) after each atom.
Atoms (fractional coordinates):
Ce (0.0000, 0.3779, 0.5000)  3 Ir 2.77
Ce (0.1221, 0.1221, 0.1221)  3 Ir 2.77
Ce (0.3779, 0.5000, 0.0000)  3 Ir 2.77
Ce (0.5000, 0.0000, 0.3779)  3 Ir 2.77
Er (0.0000, 0.8752, 0.5000)  6 Ir 2.82-3.11
Er (0.5000, 0.0000, 0.8752)  6 Ir 2.82-3.11
Er (0.6248, 0.6248, 0.6248)  6 Ir 2.82-3.11
Er (0.8752, 0.5000, 0.0000)  6 Ir 2.82-3.11
Ir (0.1140, 0.7500, 0.8640)  2 Ce 2.77, 2 Er 2.82
Ir (0.2500, 0.6360, 0.3860)  2 Ce 2.77, 2 Er 2.82
Ir (0.3860, 0.2500, 0.6360)  2 Ce 2.77, 2 Er 2.82
Ir (0.6360, 0.3860, 0.2500)  2 Ce 2.77, 2 Er 2.82
Ir (0.7500, 0.8640, 0.1140)  2 Ce 2.77, 2 Er 2.82
Ir (0.8640, 0.1140, 0.7500)  2 Ce 2.77, 2 Er 2.82

[5]
Compound: Ce2ErIr
Source: Alexandria via LeMat-Bulk
Functional: PBE
Structure: relaxed

Calculated values
crystal system: orthorhombic
offset from the most stable computed form: 0 meV/atom

Unit cell a=5.8676 b=5.8676 c=9.9161 alpha=90.00 beta=90.00 gamma=142.70
With the nearest neighbours (Å) after each atom.
Atoms (fractional coordinates):
Ce (0.1369, 0.8631, 0.5570)  2 Ir 2.79
Ce (0.1369, 0.8631, 0.9430)  2 Ir 2.79
Ce (0.8631, 0.1369, 0.0570)  2 Ir 2.79
Ce (0.8631, 0.1369, 0.4430)  2 Ir 2.79
Er (0.4180, 0.5820, 0.7500)  3 Ir 3.00-3.22
Er (0.5820, 0.4180, 0.2500)  3 Ir 3.00-3.22
Ir (0.2922, 0.7078, 0.2500)  4 Ce 2.79, 2 Er 3.00
Ir (0.7078, 0.2922, 0.7500)  4 Ce 2.79, 2 Er 3.00

[6]
Compound: CeEr3Ir2
Source: Alexandria via LeMat-Bulk
Functional: PBE
Structure: relaxed

Calculated values
crystal system: orthorhombic
E: -6.878 eV per atom

Unit cell a=8.3360 b=8.3360 c=8.3360 alpha=131.92 beta=71.54 gamma=130.43
With the nearest neighbours (Å) after each atom.
Atoms (fractional coordinates):
Ce (0.0000, 0.0000, 0.0000)  2 Ir 2.57
Ce (0.5000, 0.5000, 0.0000)  2 Ir 2.57
Er (0.0060, 0.2500, 0.7560)  4 Ir 2.87-2.95
Er (0.2500, 0.7500, 0.5000)  4 Ir 2.95
Er (0.4940, 0.2500, 0.2440)  4 Ir 2.87-2.95
Er (0.5060, 0.7500, 0.7560)  4 Ir 2.87-2.95
Er (0.7500, 0.2500, 0.5000)  4 Ir 2.95
Er (0.9940, 0.7500, 0.2440)  4 Ir 2.87-2.95
Ir (0.1327, 0.7286, 0.8613)  1 Ce 2.57, 2 Er 2.87
Ir (0.3673, 0.2286, 0.5959)  1 Ce 2.57, 2 Er 2.87
Ir (0.6327, 0.7714, 0.4041)  1 Ce 2.57, 2 Er 2.87
Ir (0.8673, 0.2714, 0.1387)  1 Ce 2.57, 2 Er 2.87

[7]
Compound: Ce2ErIr
Source: Alexandria via LeMat-Bulk
Functional: PBE
Structure: relaxed

Calculated values
crystal system: tetragonal
offset from the most stable computed form: 155 meV/atom

Unit cell a=3.7271 b=3.7271 c=7.3292 alpha=90.00 beta=90.00 gamma=90.00
With the nearest neighbours (Å) after each atom.
Atoms (fractional coordinates):
Ce (0.0000, 0.0000, 0.1946)  1 Ce 2.85, 4 Ir 3.00
Ce (0.0000, 0.0000, 0.8054)  1 Ce 2.85, 4 Ir 3.00
Er (0.5000, 0.5000, 0.5000)  8 Ce 3.46, 2 Ir 3.66, 4 Er 3.73
Ir (0.5000, 0.5000, 0.0000)  8 Ce 3.00

[8]
Compound: CeErIr
Source: Alexandria via LeMat-Bulk
Functional: PBE
Structure: relaxed

Calculated values
crystal system: orthorhombic
offset from the most stable computed form: 72 meV/atom

Unit cell a=4.9156 b=6.6763 c=6.6763 alpha=43.22 beta=90.00 gamma=90.00
With the nearest neighbours (Å) after each atom.
Atoms (fractional coordinates):
Ce (0.2500, 0.2479, 0.7521)  4 Ir 2.97-2.99, 1 Er 3.30
Ce (0.7500, 0.7521, 0.2479)  4 Ir 2.97-2.99, 1 Er 3.30
Er (0.2500, 0.9829, 0.4854)  4 Ir 2.93-2.96
Er (0.7500, 0.4854, 0.9829)  4 Ir 2.93-2.96
Ir (0.2500, 0.6107, 0.1188)  4 Er 2.93-2.96, 4 Ce 2.97-2.99
Ir (0.7500, 0.1188, 0.6107)  4 Er 2.93-2.96, 4 Ce 2.97-2.99